Entry from Alexandria via LeMat-Bulk: a relaxed CeSb4Pd15 crystal (GGA-PBE).

Cell lengths 4.0981, 4.0981, 20.1640 Å; angles 90.00, 90.00, 90.00 degrees
Last column: magnetic moment on the atom in μB.
Sites, in units of the cell vectors:
Ce 0.0000 0.0000 0.0000  0.29
Sb 0.0000 0.0000 0.2039  0.00
Sb 0.0000 0.0000 0.4009  0.00
Sb 0.0000 0.0000 0.5991  0.00
Sb 0.0000 0.0000 0.7961  0.00
Pd 0.5000 0.5000 0.0000  -0.01
Pd 0.5000 0.5000 0.2036  0.00
Pd 0.5000 0.5000 0.4006  0.01
Pd 0.5000 0.5000 0.5994  0.01
Pd 0.5000 0.5000 0.7964  0.00
Pd 0.5000 0.0000 0.1030  -0.01
Pd 0.5000 0.0000 0.3019  0.00
Pd 0.5000 0.0000 0.5000  0.00
Pd 0.5000 0.0000 0.6981  0.00
Pd 0.5000 0.0000 0.8970  -0.01
Pd 0.0000 0.5000 0.1030  -0.01
Pd 0.0000 0.5000 0.3019  0.00
Pd 0.0000 0.5000 0.5000  0.00
Pd 0.0000 0.5000 0.6981  0.00
Pd 0.0000 0.5000 0.8970  -0.01

Computed properties:
Fermi-level density of states   13.54 states/eV/f.u.
Formation energy (no corrections)   -452.3 meV/atom
Uncorrected energy   -5.4681 eV/atom

Entry from Alexandria via LeMat-Bulk: a relaxed CeSb3Pd crystal (GGA-PBE).

Cell lengths 5.4540, 5.4540, 9.0575 Å; angles 90.00, 90.00, 90.00 degrees
Last column: magnetic moment on the atom in μB.
Sites, in units of the cell vectors:
Ce 0.0000 0.5000 0.2357  0.86
Ce 0.5000 0.0000 0.7643  0.86
Sb 0.0000 0.0000 0.0000  -0.02
Sb 0.5000 0.5000 0.0000  -0.02
Sb 0.0000 0.0000 0.5000  -0.02
Sb 0.5000 0.5000 0.5000  -0.02
Sb 0.0000 0.5000 0.6173  -0.01
Sb 0.5000 0.0000 0.3827  -0.01
Pd 0.0000 0.5000 0.9076  -0.01
Pd 0.5000 0.0000 0.0924  -0.01

Computed properties:
Fermi-level density of states   7.58 states/eV/f.u.
Formation energy (no corrections)   -375.6 meV/atom
Uncorrected energy   -5.0744 eV/atom

Entry from Alexandria via LeMat-Bulk: a relaxed CeSb2Pd crystal (GGA-PBE).

Cell lengths 4.2067, 4.7155, 4.7155 Å; angles 90.00, 90.00, 90.00 degrees
Last column: magnetic moment on the atom in μB.
Sites, in units of the cell vectors:
Sb 0.0000 0.0000 0.5000  0.00
Sb 0.0000 0.5000 0.0000  0.00
Pd 0.5000 0.0000 0.0000  0.00
Ce 0.5000 0.5000 0.5000  0.16

Computed properties:
Fermi-level density of states   4.25 states/eV/f.u.
Formation energy (no corrections)   -677.0 meV/atom
Uncorrected energy   -5.5198 eV/atom

Entry from Alexandria via LeMat-Bulk: a relaxed CeSb2Pd crystal (GGA-PBE).

Cell lengths 8.3098, 6.4235, 7.7371 Å; angles 90.00, 89.02, 90.00 degrees
Last column: magnetic moment on the atom in μB.
Sites, in units of the cell vectors:
Ce 0.1715 0.3642 0.1797  0.85
Ce 0.3285 0.8642 0.8203  0.85
Ce 0.6715 0.1358 0.1797  0.85
Ce 0.8285 0.6358 0.8203  0.85
Sb 0.5617 0.6408 0.1304  -0.01
Sb 0.0617 0.8592 0.1304  -0.01
Sb 0.9018 0.2935 0.4748  0.00
Sb 0.9383 0.1408 0.8696  -0.01
Sb 0.0982 0.7065 0.5252  0.00
Sb 0.5982 0.7935 0.5252  0.00
Sb 0.4383 0.3592 0.8696  -0.01
Sb 0.4018 0.2065 0.4748  0.00
Pd 0.6618 0.1580 0.6834  0.00
Pd 0.1618 0.3420 0.6834  0.00
Pd 0.3382 0.8420 0.3166  0.00
Pd 0.8382 0.6580 0.3166  0.00

Computed properties:
Fermi-level density of states   7.15 states/eV/f.u.
Formation energy (no corrections)   -669.6 meV/atom
Uncorrected energy   -5.5125 eV/atom

Entry from Alexandria via LeMat-Bulk: a relaxed CeSbPd2 crystal (GGA-PBE).

Cell lengths 4.4806, 3.4384, 5.7326 Å; angles 89.99, 90.00, 90.00 degrees
Last column: magnetic moment on the atom in μB.
Sites, in units of the cell vectors:
Ce 0.5000 0.5000 0.0000  0.33
Sb 0.5000 0.0000 0.5000  -0.01
Pd 0.0000 0.9996 0.2356  -0.02
Pd 0.0000 0.0004 0.7644  -0.02

Computed properties:
Fermi-level density of states   3.98 states/eV/f.u.
Formation energy (no corrections)   -650.3 meV/atom
Uncorrected energy   -5.7608 eV/atom

Entry from Alexandria via LeMat-Bulk: a relaxed CeSb2Pd6 crystal (GGA-PBE).

Cell lengths 5.6121, 5.6121, 7.0634 Å; angles 90.00, 90.00, 120.00 degrees
Last column: magnetic moment on the atom in μB.
Sites, in units of the cell vectors:
Ce 0.0000 0.0000 0.0000  0.70
Sb 0.3333 0.6667 0.5000  0.00
Sb 0.6667 0.3333 0.5000  0.00
Pd 0.5012 0.0000 0.1946  -0.02
Pd 0.4988 0.4988 0.1946  -0.02
Pd 0.0000 0.5012 0.1946  -0.02
Pd 0.5012 0.5012 0.8054  -0.02
Pd 0.0000 0.4988 0.8054  -0.02
Pd 0.4988 0.0000 0.8054  -0.02

Computed properties:
Fermi-level density of states   10.59 states/eV/f.u.
Formation energy (no corrections)   -423.2 meV/atom
Uncorrected energy   -5.4605 eV/atom

Entry from Alexandria via LeMat-Bulk: a relaxed Ce2Sb7Pd12 crystal (GGA-PBE).

Cell lengths 4.3539, 10.5439, 10.5440 Å; angles 120.00, 90.00, 90.00 degrees
Last column: magnetic moment on the atom in μB.
Sites, in units of the cell vectors:
Ce 0.2363 0.3333 0.6667  0.83
Ce 0.7637 0.6667 0.3333  0.83
Sb 0.5000 0.0000 0.0000  0.00
Sb 0.2710 0.8851 0.2917  0.00
Sb 0.2710 0.4066 0.1149  0.00
Sb 0.2710 0.7083 0.5934  0.00
Sb 0.7290 0.1149 0.7083  0.00
Sb 0.7290 0.5934 0.8851  0.00
Sb 0.7290 0.2917 0.4066  0.00
Pd 0.2393 0.6200 0.0551  0.01
Pd 0.2393 0.4351 0.3800  0.01
Pd 0.2393 0.9449 0.5649  0.01
Pd 0.7607 0.3800 0.9449  0.01
Pd 0.7607 0.5649 0.6200  0.01
Pd 0.7607 0.0551 0.4351  0.01
Pd 0.2151 0.1193 0.2567  0.01
Pd 0.2151 0.1375 0.8807  0.01
Pd 0.2151 0.7433 0.8625  0.01
Pd 0.7849 0.8807 0.7433  0.01
Pd 0.7849 0.8625 0.1193  0.01
Pd 0.7849 0.2567 0.1375  0.01

Computed properties:
Fermi-level density of states   22.28 states/eV/f.u.
Formation energy (no corrections)   -605.9 meV/atom
Uncorrected energy   -5.5125 eV/atom

Entry from Alexandria via LeMat-Bulk: a relaxed Ce4Sb8Pd3 crystal (GGA-PBE).

Cell lengths 4.4367, 4.4367, 19.2059 Å; angles 90.00, 90.00, 90.00 degrees
Sites, in units of the cell vectors:
Ce 0.5000 0.0000 0.3751
Ce 0.5000 0.0000 0.8854
Ce 0.0000 0.5000 0.1146
Ce 0.0000 0.5000 0.6249
Sb 0.5000 0.0000 0.0777
Sb 0.5000 0.0000 0.5856
Sb 0.0000 0.5000 0.4144
Sb 0.0000 0.5000 0.9223
Sb 0.5000 0.5000 0.2451
Sb 0.5000 0.5000 0.7549
Sb 0.0000 0.0000 0.2449
Sb 0.0000 0.0000 0.7551
Pd 0.5000 0.5000 0.5000
Pd 0.0000 0.0000 0.0000
Pd 0.0000 0.0000 0.5000

Computed properties:
Fermi-level density of states   12.46 states/eV/f.u.
Formation energy (no corrections)   -836.4 meV/atom
Uncorrected energy   -5.6559 eV/atom

Entry from Alexandria via LeMat-Bulk: a relaxed CeSb2Pd crystal (GGA-PBE).

Cell lengths 3.3538, 3.3538, 10.5623 Å; angles 80.86, 80.86, 60.00 degrees
Last column: magnetic moment on the atom in μB.
Sites, in units of the cell vectors:
Sb 0.1024 0.1024 0.6929  -0.01
Sb 0.8976 0.8976 0.3071  -0.01
Pd 0.5000 0.5000 0.5000  -0.01
Ce 0.0000 0.0000 0.0000  0.81

Computed properties:
Fermi-level density of states   5.71 states/eV/f.u.
Formation energy (no corrections)   -125.4 meV/atom
Uncorrected energy   -4.9682 eV/atom

Entry from Alexandria via LeMat-Bulk: a relaxed CeSbPd14 crystal (GGA-PBE).

Cell lengths 5.7760, 5.7760, 7.8152 Å; angles 90.00, 90.00, 90.00 degrees
Sites, in units of the cell vectors:
Ce 0.3750 0.3750 0.5000
Sb 0.8750 0.8750 0.5000
Pd 0.8750 0.8750 0.0000
Pd 0.3750 0.3750 0.0000
Pd 0.8750 0.3750 0.5000
Pd 0.8750 0.3750 0.0000
Pd 0.3750 0.8750 0.5000
Pd 0.3750 0.8750 0.0000
Pd 0.6268 0.1232 0.2467
Pd 0.6268 0.1232 0.7533
Pd 0.1232 0.6268 0.2467
Pd 0.1232 0.6268 0.7533
Pd 0.6268 0.6268 0.2466
Pd 0.6268 0.6268 0.7534
Pd 0.1232 0.1232 0.2467
Pd 0.1232 0.1232 0.7533

Computed properties:
Fermi-level density of states   19.46 states/eV/f.u.
Formation energy (no corrections)   -317.5 meV/atom
Uncorrected energy   -5.4898 eV/atom

Entry from Alexandria via LeMat-Bulk: a relaxed CeSb2Pd4 crystal (GGA-PBE).

Cell lengths 4.5968, 7.1953, 17.1997 Å; angles 90.00, 90.00, 90.00 degrees
Last column: magnetic moment on the atom in μB.
Sites, in units of the cell vectors:
Ce 0.7500 0.9678 0.6426  0.67
Ce 0.2500 0.0322 0.3574  0.67
Ce 0.2500 0.4678 0.8574  0.67
Ce 0.7500 0.5322 0.1426  0.67
Sb 0.2500 0.7476 0.5333  0.00
Sb 0.7500 0.2524 0.4667  0.00
Sb 0.7500 0.2476 0.9667  0.00
Sb 0.2500 0.7524 0.0333  0.00
Sb 0.2500 0.9286 0.7918  0.00
Sb 0.7500 0.0714 0.2082  0.00
Sb 0.7500 0.4286 0.7082  0.00
Sb 0.2500 0.5714 0.2918  0.00
Pd 0.2500 0.2288 0.7038  -0.01
Pd 0.7500 0.7712 0.2962  -0.01
Pd 0.7500 0.7288 0.7962  -0.01
Pd 0.2500 0.2712 0.2038  -0.01
Pd 0.2500 0.6420 0.6847  0.00
Pd 0.7500 0.3580 0.3153  0.00
Pd 0.7500 0.1420 0.8153  0.00
Pd 0.2500 0.8580 0.1847  0.00
Pd 0.2500 0.1200 0.5357  0.00
Pd 0.7500 0.8800 0.4643  0.00
Pd 0.7500 0.6200 0.9643  0.00
Pd 0.2500 0.3800 0.0357  0.00
Pd 0.2500 0.4511 0.4384  0.00
Pd 0.7500 0.5489 0.5616  0.00
Pd 0.7500 0.9511 0.0616  0.00
Pd 0.2500 0.0489 0.9384  0.00

Computed properties:
Fermi-level density of states   8.58 states/eV/f.u.
Formation energy (no corrections)   -647.9 meV/atom
Uncorrected energy   -5.6408 eV/atom

Entry from Alexandria via LeMat-Bulk: a relaxed Ce2Sb4Pd3 crystal (GGA-PBE).

Cell lengths 6.3579, 8.2099, 8.4308 Å; angles 90.00, 112.15, 90.00 degrees
Last column: magnetic moment on the atom in μB.
Sites, in units of the cell vectors:
Ce 0.1160 0.5760 0.2320  0.60
Ce 0.8840 0.4240 0.7680  0.60
Ce 0.3840 0.0760 0.7680  0.60
Ce 0.6160 0.9240 0.2320  0.60
Sb 0.7024 0.7500 0.9047  -0.01
Sb 0.7976 0.2500 0.0953  -0.01
Sb 0.2976 0.2500 0.0953  -0.01
Sb 0.2024 0.7500 0.9047  -0.01
Sb 0.1820 0.9609 0.3641  0.00
Sb 0.8180 0.0391 0.6359  0.00
Sb 0.3180 0.4609 0.6359  0.00
Sb 0.6820 0.5391 0.3641  0.00
Pd 0.0000 0.0000 0.0000  0.01
Pd 0.5000 0.5000 0.0000  0.01
Pd 0.5280 0.7500 0.5559  0.01
Pd 0.9720 0.2500 0.4441  0.01
Pd 0.4720 0.2500 0.4441  0.01
Pd 0.0280 0.7500 0.5559  0.01

Computed properties:
Fermi-level density of states   12.93 states/eV/f.u.
Formation energy (no corrections)   -768.7 meV/atom
Uncorrected energy   -5.6504 eV/atom

- What is the formation energy (no corrections) in the eleventh record?
  -647.9 meV/atom

Copy entry 3 word for word.
Entry from Alexandria via LeMat-Bulk: a relaxed CeSb2Pd crystal (GGA-PBE).

Cell lengths 4.2067, 4.7155, 4.7155 Å; angles 90.00, 90.00, 90.00 degrees
Last column: magnetic moment on the atom in μB.
Sites, in units of the cell vectors:
Sb 0.0000 0.0000 0.5000  0.00
Sb 0.0000 0.5000 0.0000  0.00
Pd 0.5000 0.0000 0.0000  0.00
Ce 0.5000 0.5000 0.5000  0.16

Computed properties:
Fermi-level density of states   4.25 states/eV/f.u.
Formation energy (no corrections)   -677.0 meV/atom
Uncorrected energy   -5.5198 eV/atom

- Look up the uncorrected energy of the ninth one.
  -4.9682 eV/atom

Please write out number 4 again, unchanged.
Entry from Alexandria via LeMat-Bulk: a relaxed CeSb2Pd crystal (GGA-PBE).

Cell lengths 8.3098, 6.4235, 7.7371 Å; angles 90.00, 89.02, 90.00 degrees
Last column: magnetic moment on the atom in μB.
Sites, in units of the cell vectors:
Ce 0.1715 0.3642 0.1797  0.85
Ce 0.3285 0.8642 0.8203  0.85
Ce 0.6715 0.1358 0.1797  0.85
Ce 0.8285 0.6358 0.8203  0.85
Sb 0.5617 0.6408 0.1304  -0.01
Sb 0.0617 0.8592 0.1304  -0.01
Sb 0.9018 0.2935 0.4748  0.00
Sb 0.9383 0.1408 0.8696  -0.01
Sb 0.0982 0.7065 0.5252  0.00
Sb 0.5982 0.7935 0.5252  0.00
Sb 0.4383 0.3592 0.8696  -0.01
Sb 0.4018 0.2065 0.4748  0.00
Pd 0.6618 0.1580 0.6834  0.00
Pd 0.1618 0.3420 0.6834  0.00
Pd 0.3382 0.8420 0.3166  0.00
Pd 0.8382 0.6580 0.3166  0.00

Computed properties:
Fermi-level density of states   7.15 states/eV/f.u.
Formation energy (no corrections)   -669.6 meV/atom
Uncorrected energy   -5.5125 eV/atom